1.
Compound: LiMn2Be2
Source: Alexandria via LeMat-Bulk
Functional: PBE
Structure: relaxed

Summary:
As for the density: 4.044 Mg/m³. The formation energy comes out at 12.5 kJ per mole of atoms.

a = 6.4150 Å, b = 6.4150 Å, c = 2.6909 Å
α = 90.00°, β = 90.00°, γ = 90.00°
Space group P4/mbm (No. 127)
Symmetry-distinct sites (fractional):
Li (0.0000, 0.0000, 0.0000)
Mn (0.1706, 0.3294, 0.5000)
Be (0.1213, 0.6213, 0.0000)

2.
Compound: Ba2NiIrPb
Source: Alexandria via LeMat-Bulk
Functional: PBE
Structure: relaxed

Summary:
As for the density: 6.411 Mg/m³. The formation energy comes out at 24.7 kJ per mole of atoms.

a = 6.0594 Å, b = 6.0594 Å, c = 5.1697 Å
α = 90.00°, β = 90.00°, γ = 90.00°
Space group P4/mmm (No. 123)
Symmetry-distinct sites (fractional):
Ba (0.0000, 0.5000, 0.0000)
Ni (0.0000, 0.0000, 0.5000)
Ir (0.5000, 0.5000, 0.0000)
Pb (0.5000, 0.5000, 0.5000)

3.
Compound: Dy3Zr2TaN6
Source: Alexandria via LeMat-Bulk
Functional: PBE
Structure: relaxed

Summary:
As for the density: 9.971 Mg/m³. The uncorrected formation energy comes out at -1.608 eV per atom.

a = 5.7285 Å, b = 9.9159 Å, c = 5.8066 Å
α = 90.00°, β = 109.24°, γ = 90.00°
Space group C2/m (No. 12)
Symmetry-distinct sites (fractional):
Dy (0.0000, 0.0000, 0.0000)
Dy (0.0000, 0.3327, 0.0000)
Zr (0.0000, 0.1664, 0.5000)
Ta (0.0000, 0.5000, 0.5000)
N (0.2378, 0.3382, 0.7275)
N (0.2471, 0.5000, 0.2692)

Short version: raw total energy = -5.411 -4.183 -9.333 eV/atom, in the order given.